DFT (GGA-PBEsol) results for an optimized crystal structure of MnTcC2I.

Calculated values
Calculated volume: 16.7 A^3/atom
ΔE_f (raw): 1.4246 eV per atom
Space group: P4/mmm
Calculated density: 6.05 g cm⁻³

Lattice parameters (Å, degrees): 3.9343 3.9343 5.3882 90.00 90.00 90.00
Last column: nearest neighbours and their distance in Å.
Fractional positions:
Mn 0.0000 0.0000 0.0000  2 Tc 2.69, 4 I 2.78
Tc 0.0000 0.0000 0.5000  4 C 1.97
C 0.0000 0.5000 0.5000  2 Tc 1.97
C 0.5000 0.0000 0.5000  2 Tc 1.97
I 0.5000 0.5000 0.0000  4 Mn 2.78



DFT (GGA-PBEsol) results for an optimized crystal structure of NaAlTcC2.

Calculated values
Calculated volume: 15.2 A^3/atom
Space group: P4/mmm
Formation energy: 3211 meV per atom
Calculated density: 3.76 g cm⁻³

Lattice parameters (Å, degrees): 4.0287 4.0287 4.6806 90.00 90.00 90.00
Last column: nearest neighbours and their distance in Å.
Fractional positions:
Na 0.0000 0.0000 0.0000  4 C 2.01
Al 0.5000 0.5000 0.5000  4 Tc 2.85, 8 C 3.09
Tc 0.0000 0.0000 0.5000  2 Na 2.34
C 0.0000 0.5000 0.0000  2 Na 2.01
C 0.5000 0.0000 0.0000  2 Na 2.01



DFT (GGA-PBEsol) results for an optimized crystal structure of CaCuSi2O6.

Calculated values
Calculated volume: 12.2 A^3/atom
ΔE_f (raw): -2.3993 eV per atom
Space group: Pbca
Energy above the most stable polymorph in this dataset: 0.17 eV per formula unit
Calculated density: 3.48 g cm⁻³

Lattice parameters (Å, degrees): 5.4278 18.8692 9.5384 90.00 90.00 90.00
Last column: nearest neighbours and their distance in Å.
Fractional positions:
Ca 0.0999 0.1249 0.1467  6 O 2.22-2.42
Ca 0.0999 0.3751 0.6467  6 O 2.22-2.42
Ca 0.4001 0.6249 0.1467  6 O 2.22-2.42
Ca 0.4001 0.8751 0.6467  6 O 2.22-2.42
Ca 0.5999 0.1249 0.3533  6 O 2.22-2.42
Ca 0.5999 0.3751 0.8533  6 O 2.22-2.42
Ca 0.9001 0.6249 0.3533  6 O 2.22-2.42
Ca 0.9001 0.8751 0.8533  6 O 2.22-2.42
Cu 0.1095 0.1247 0.5164  3 O 1.88-1.99
Cu 0.1095 0.3753 0.0164  3 O 1.88-1.99
Cu 0.3905 0.6247 0.5164  3 O 1.88-1.99
Cu 0.3905 0.8753 0.0164  3 O 1.88-1.99
Cu 0.6095 0.1247 0.9836  3 O 1.88-1.99
Cu 0.6095 0.3753 0.4836  3 O 1.88-1.99
Cu 0.8905 0.6247 0.9836  3 O 1.88-1.99
Cu 0.8905 0.8753 0.4836  3 O 1.88-1.99
Si 0.0996 0.7201 0.6707  4 O 1.60-1.69
Si 0.0996 0.7799 0.1707  4 O 1.60-1.69
Si 0.2292 0.5212 0.8363  4 O 1.62-1.66
Si 0.2292 0.9788 0.3363  4 O 1.62-1.66
Si 0.2708 0.0212 0.8363  4 O 1.62-1.66
Si 0.2708 0.4788 0.3363  4 O 1.62-1.66
Si 0.4004 0.2201 0.6707  4 O 1.60-1.69
Si 0.4004 0.2799 0.1707  4 O 1.60-1.69
Si 0.5996 0.7201 0.8293  4 O 1.60-1.69
Si 0.5996 0.7799 0.3293  4 O 1.60-1.69
Si 0.7292 0.5212 0.6637  4 O 1.62-1.66
Si 0.7292 0.9788 0.1637  4 O 1.62-1.66
Si 0.7708 0.0212 0.6637  4 O 1.62-1.66
Si 0.7708 0.4788 0.1637  4 O 1.62-1.66
Si 0.9004 0.2201 0.8293  4 O 1.60-1.69
Si 0.9004 0.2799 0.3293  4 O 1.60-1.69
O 0.0123 0.5387 0.7195  2 Si 1.65-1.66
O 0.0123 0.9613 0.2195  2 Si 1.65-1.66
O 0.0745 0.6952 0.1706  1 Si 1.60
O 0.0745 0.8048 0.6706  1 Si 1.60
O 0.1077 0.6832 0.5170  1 Si 1.62
O 0.1077 0.8168 0.0170  1 Si 1.62
O 0.1295 0.1884 0.7301  2 Si 1.67-1.69
O 0.1295 0.3116 0.2301  2 Si 1.67-1.69
O 0.1791 0.5704 0.9719  1 Si 1.62
O 0.1791 0.9296 0.4719  1 Si 1.62
O 0.2303 0.0650 0.3584  1 Si 1.64
O 0.2303 0.4350 0.8584  1 Si 1.64
O 0.2697 0.5650 0.3584  1 Si 1.64
O 0.2697 0.9350 0.8584  1 Si 1.64
O 0.3209 0.0704 0.9719  1 Si 1.62
O 0.3209 0.4296 0.4719  1 Si 1.62
O 0.3705 0.6884 0.7301  2 Si 1.67-1.69
O 0.3705 0.8116 0.2301  2 Si 1.67-1.69
O 0.3923 0.1832 0.5170  1 Si 1.62
O 0.3923 0.3168 0.0170  1 Si 1.62
O 0.4255 0.1952 0.1706  1 Si 1.60
O 0.4255 0.3048 0.6706  1 Si 1.60
O 0.4877 0.0387 0.7195  2 Si 1.65-1.66
O 0.4877 0.4613 0.2195  2 Si 1.65-1.66
O 0.5123 0.5387 0.7805  2 Si 1.65-1.66
O 0.5123 0.9613 0.2805  2 Si 1.65-1.66
O 0.5745 0.6952 0.3294  1 Si 1.60
O 0.5745 0.8048 0.8294  1 Si 1.60
O 0.6077 0.6832 0.9830  1 Si 1.62
O 0.6077 0.8168 0.4830  1 Si 1.62
O 0.6295 0.1884 0.7699  2 Si 1.67-1.69
O 0.6295 0.3116 0.2699  2 Si 1.67-1.69
O 0.6791 0.5704 0.5281  1 Si 1.62
O 0.6791 0.9296 0.0281  1 Si 1.62
O 0.7303 0.0650 0.1416  1 Si 1.64
O 0.7303 0.4350 0.6416  1 Si 1.64
O 0.7697 0.5650 0.1416  1 Si 1.64
O 0.7697 0.9350 0.6416  1 Si 1.64
O 0.8209 0.0704 0.5281  1 Si 1.62
O 0.8209 0.4296 0.0281  1 Si 1.62
O 0.8705 0.6884 0.7699  2 Si 1.67-1.69
O 0.8705 0.8116 0.2699  2 Si 1.67-1.69
O 0.8923 0.1832 0.9830  1 Si 1.62
O 0.8923 0.3168 0.4830  1 Si 1.62
O 0.9255 0.1952 0.3294  1 Si 1.60
O 0.9255 0.3048 0.8294  1 Si 1.60
O 0.9877 0.0387 0.7805  2 Si 1.65-1.66
O 0.9877 0.4613 0.2805  2 Si 1.65-1.66



DFT (GGA-PBEsol) results for an optimized crystal structure of BeNiIr2.

Calculated values
Calculated volume: 11.5 A^3/atom
Space group: P4mm
Formation energy: -207 meV per atom
Calculated density: 16.33 g cm⁻³

Lattice parameters (Å, degrees): 2.7075 2.7075 6.2702 90.00 90.00 90.00
Last column: nearest neighbours and their distance in Å.
Fractional positions:
Be 0.0000 0.0000 0.0000  4 Ni 2.25, 4 Ir 2.41
Ni 0.5000 0.5000 0.8115  4 Be 2.25
Ir 0.0000 0.0000 0.5322  4 Ni 2.59, 8 Ir 2.68-2.71
Ir 0.5000 0.5000 0.2324  4 Be 2.41, 1 Ni 2.64, 4 Ir 2.68



DFT (GGA-PBEsol) results for an optimized crystal structure of KCd2GaIr.

Calculated values
Calculated volume: 25.9 A^3/atom
Space group: P4/mmm
Formation energy: -128 meV per atom
Calculated density: 6.75 g cm⁻³

Lattice parameters (Å, degrees): 5.2215 5.2215 4.7479 90.00 90.00 90.00
Last column: nearest neighbours and their distance in Å.
Fractional positions:
K 0.0000 0.0000 0.0000  8 Cd 3.53, 4 Ga 3.69
Cd 0.0000 0.5000 0.5000  2 Ir 2.61
Cd 0.5000 0.0000 0.5000  2 Ir 2.61
Ga 0.5000 0.5000 0.0000  2 Ir 2.37
Ir 0.5000 0.5000 0.5000  2 Ga 2.37, 4 Cd 2.61



DFT (GGA-PBEsol) results for an optimized crystal structure of LaMo2C2.

Calculated values
Calculated volume: 13.9 A^3/atom
Space group: I4/mmm
Formation energy: 256 meV per atom
Calculated density: 8.47 g cm⁻³

Lattice parameters (Å, degrees): 4.0932 4.0932 8.2993 90.00 90.00 90.00
Last column: nearest neighbours and their distance in Å.
Fractional positions:
La 0.0000 0.0000 0.0000  10 Mo 2.86-3.17, 8 C 2.91
La 0.5000 0.5000 0.5000  10 Mo 2.86-3.17, 8 C 2.91
Mo 0.0000 0.0000 0.3447  4 C 2.19
Mo 0.0000 0.0000 0.6553  4 C 2.19
Mo 0.5000 0.5000 0.1553  4 C 2.19
Mo 0.5000 0.5000 0.8447  4 C 2.19
C 0.0000 0.5000 0.2500  4 Mo 2.19
C 0.0000 0.5000 0.7500  4 Mo 2.19
C 0.5000 0.0000 0.2500  4 Mo 2.19
C 0.5000 0.0000 0.7500  4 Mo 2.19